No. 1
This record from Alexandria describes a relaxed ScIrRu crystal. The functional is PBE-GGA.

Cell lengths 2.8994, 3.8284, 8.7023 Å; angles 90.00, 90.00, 90.00 degrees
Space group Imm2 (No. 44)
One atom of each set of equivalent atoms:
Sc 0.0000 0.0000 0.0000 [2 per cell]
Ir 0.0000 0.0000 0.6788 [2 per cell]
Ru 0.0000 0.0000 0.3181 [2 per cell]

Output
The calculation puts the calculated density at 11.63 g/cm³. The calculation puts the total magnetization at 0.000 μB/atom. The value obtained for the electronic total energy is -8.4094 eV per atom. The offset from the most stable computed form is 130 meV per atom. The calculation puts the formation enthalpy at 0 K at -0.2533 eV per atom.

=====

No. 2
This record from Alexandria describes a relaxed ScIrRu crystal. The functional is PBE-GGA.

Cell lengths 6.0320, 6.0320, 6.0320 Å; angles 90.00, 90.00, 90.00 degrees
Space group F-43m (No. 216)
One atom of each set of equivalent atoms:
Sc 0.0000 0.0000 0.0000 [4 per cell]
Ir 0.2500 0.2500 0.2500 [4 per cell]
Ru 0.2500 0.2500 0.7500 [4 per cell]

Output
The calculation puts the calculated density at 10.24 g/cm³. The calculation puts the total magnetization at 0.000 μB/atom. The value obtained for the electronic total energy is -7.7614 eV per atom. The offset from the most stable computed form is 778 meV per atom. The calculation puts the formation enthalpy at 0 K at 0.3947 eV per atom.

=====

No. 3
This record from Alexandria describes a relaxed Sc2IrRu crystal. The functional is PBE-GGA.

Cell lengths 3.0214, 3.0214, 27.0985 Å; angles 90.00, 90.00, 120.00 degrees
Space group R-3m (No. 166, hexagonal axes)
One atom of each set of equivalent atoms:
Sc 0.0000 0.0000 0.0920 [6 per cell]
Ir 0.0000 0.0000 0.0000 [3 per cell]
Ru 0.0000 0.0000 0.5000 [3 per cell]

Output
The calculation puts the calculated density at 8.91 g/cm³. The calculation puts the total magnetization at 0.000 μB/atom. The value obtained for the electronic total energy is -7.7524 eV per atom. The calculation puts the formation enthalpy at 0 K at -0.0524 eV per atom.

=====

No. 4
This record from Alexandria describes a relaxed Sc8IrRu2 crystal. The functional is PBE-GGA.

Cell lengths 7.8645, 11.8901, 5.1704 Å; angles 90.00, 107.79, 90.00 degrees
Space group Cm (No. 8)
One atom of each set of equivalent atoms:
Sc 0.0000 0.0000 0.0000 [2 per cell]
Sc 0.0628 0.3723 0.7795 [4 per cell]
Sc 0.1615 0.1277 0.5877 [4 per cell]
Sc 0.2242 0.5000 0.3668 [2 per cell]
Sc 0.3622 0.2184 0.1835 [4 per cell]
Ir 0.3622 0.0000 0.1812 [2 per cell]
Ru 0.3620 0.3126 0.6833 [4 per cell]

Output
The calculation puts the calculated density at 5.44 g/cm³. The calculation puts the total magnetization at 0.000 μB/atom. The value obtained for the electronic total energy is -7.4887 eV per atom. The calculation puts the formation enthalpy at 0 K at -0.3919 eV per atom.

=====

No. 5
This record from Alexandria describes a relaxed Sc2IrRu crystal. The functional is PBE-GGA.

Cell lengths 4.5536, 4.5536, 3.2075 Å; angles 90.00, 90.00, 90.00 degrees
Space group P4/mmm (No. 123)
One atom of each set of equivalent atoms:
Sc 0.0000 0.5000 0.0000 [2 per cell]
Ir 0.0000 0.0000 0.5000 [1 per cell]
Ru 0.5000 0.5000 0.5000 [1 per cell]

Output
The calculation puts the calculated density at 9.57 g/cm³. The calculation puts the total magnetization at 0.000 μB/atom. The value obtained for the electronic total energy is -8.5223 eV per atom. The calculation puts the formation enthalpy at 0 K at -0.8223 eV per atom.

=====

No. 6
This record from Alexandria describes a relaxed Sc2IrRu crystal. The functional is PBE-GGA.

Cell lengths 8.4852, 3.0992, 5.3504 Å; angles 90.00, 102.60, 90.00 degrees
Space group C2/m (No. 12)
One atom of each set of equivalent atoms:
Sc 0.2484 0.0000 0.2475 [4 per cell]
Ir 0.0000 0.0000 0.5000 [2 per cell]
Ru 0.0000 0.5000 0.0000 [2 per cell]

Output
The calculation puts the calculated density at 9.27 g/cm³. The calculation puts the total magnetization at 0.000 μB/atom. The value obtained for the electronic total energy is -8.0925 eV per atom. The calculation puts the formation enthalpy at 0 K at -0.3926 eV per atom.

=====

Please write out number 2 again, unchanged.
This record from Alexandria describes a relaxed ScIrRu crystal. The functional is PBE-GGA.

Cell lengths 6.0320, 6.0320, 6.0320 Å; angles 90.00, 90.00, 90.00 degrees
Space group F-43m (No. 216)
One atom of each set of equivalent atoms:
Sc 0.0000 0.0000 0.0000 [4 per cell]
Ir 0.2500 0.2500 0.2500 [4 per cell]
Ru 0.2500 0.2500 0.7500 [4 per cell]

Output
The calculation puts the calculated density at 10.24 g/cm³. The calculation puts the total magnetization at 0.000 μB/atom. The value obtained for the electronic total energy is -7.7614 eV per atom. The offset from the most stable computed form is 778 meV per atom. The calculation puts the formation enthalpy at 0 K at 0.3947 eV per atom.